# ZnReHg2

Crystalline ZnReHg2 at its relaxed geometry (PBE, Alexandria via LeMat-Bulk).

## Properties
* volume: 146 Å³ per cell
* density: 14.9 Mg/m³

Unit cell a=4.0230 b=4.0230 c=8.9980 alpha=90.00 beta=90.00 gamma=90.00
With the nearest neighbours (Å) after each atom.
Fractional coordinates of all 8 atoms:
Zn 0.0000 0.0000 0.0000  8 Hg 2.84-3.02, 4 Re 3.02
Zn 0.5000 0.5000 0.5000  8 Hg 2.84-3.02, 4 Re 3.02
Re 0.0000 0.5000 0.2500  8 Hg 2.84-3.02, 4 Zn 3.02
Re 0.5000 0.0000 0.7500  8 Hg 2.84-3.02, 4 Zn 3.02
Hg 0.0000 0.0000 0.5000  4 Zn 2.84, 4 Hg 3.02, 4 Re 3.02
Hg 0.0000 0.5000 0.7500  4 Re 2.84, 4 Hg 3.02, 4 Zn 3.02
Hg 0.5000 0.0000 0.2500  4 Re 2.84, 4 Hg 3.02, 4 Zn 3.02
Hg 0.5000 0.5000 0.0000  4 Zn 2.84, 4 Hg 3.02, 4 Re 3.02


# Zn2ReHg

Crystalline Zn2ReHg at its relaxed geometry (PBE, Alexandria via LeMat-Bulk).

## Properties
* volume: 134 Å³ per cell
* density: 12.8 Mg/m³

Unit cell a=2.8253 b=5.0254 c=9.4573 alpha=90.00 beta=90.00 gamma=90.00
With the nearest neighbours (Å) after each atom.
Fractional coordinates of all 8 atoms:
Zn 0.0000 0.0000 0.0000  8 Zn 2.60-2.88, 2 Hg 2.86
Zn 0.0000 0.5000 0.2311  8 Zn 2.60-2.88, 2 Re 2.62
Zn 0.5000 0.0000 0.2311  8 Zn 2.60-2.88, 2 Re 2.62
Zn 0.5000 0.5000 0.0000  8 Zn 2.60-2.88, 2 Hg 2.86
Re 0.0000 0.0000 0.4651  2 Zn 2.62, 6 Re 2.83-2.88, 2 Hg 2.93
Re 0.5000 0.5000 0.4651  2 Zn 2.62, 6 Re 2.83-2.88, 2 Hg 2.93
Hg 0.0000 0.5000 0.7366  6 Hg 2.83-2.88, 2 Zn 2.86, 2 Re 2.93
Hg 0.5000 0.0000 0.7366  6 Hg 2.83-2.88, 2 Zn 2.86, 2 Re 2.93


# Zn2ReHg

Crystalline Zn2ReHg at its relaxed geometry (PBE, Alexandria via LeMat-Bulk).

## Properties
* volume: 63 Å³ per cell
* density: 13.6 Mg/m³

Unit cell a=4.1857 b=4.1857 c=3.6033 alpha=90.00 beta=90.00 gamma=90.00
With the nearest neighbours (Å) after each atom.
Fractional coordinates of all 4 atoms:
Zn 0.0000 0.5000 0.0000  4 Hg 2.76, 4 Re 2.76, 4 Zn 2.96
Zn 0.5000 0.0000 0.0000  4 Hg 2.76, 4 Re 2.76, 4 Zn 2.96
Re 0.0000 0.0000 0.5000  8 Zn 2.76, 4 Hg 2.96
Hg 0.5000 0.5000 0.5000  8 Zn 2.76, 4 Re 2.96


# Zn2ReHg

Crystalline Zn2ReHg at its relaxed geometry (PBE, Alexandria via LeMat-Bulk).

## Properties
* volume: 283 Å³ per cell
* density: 12.1 Mg/m³

Unit cell a=7.1234 b=7.1234 c=5.5797 alpha=90.00 beta=90.00 gamma=90.00
With the nearest neighbours (Å) after each atom.
Fractional coordinates of all 16 atoms:
Zn 0.2415 0.2500 0.1250  2 Re 2.57, 2 Hg 2.65, 2 Zn 2.79
Zn 0.2500 0.7415 0.3750  2 Re 2.57, 2 Hg 2.65, 2 Zn 2.79
Zn 0.2500 0.7585 0.8750  2 Re 2.57, 2 Hg 2.65, 2 Zn 2.79
Zn 0.2585 0.2500 0.6250  2 Re 2.57, 2 Hg 2.65, 2 Zn 2.79
Zn 0.7415 0.7500 0.6250  2 Re 2.57, 2 Hg 2.65, 2 Zn 2.79
Zn 0.7500 0.2415 0.8750  2 Re 2.57, 2 Hg 2.65, 2 Zn 2.79
Zn 0.7500 0.2585 0.3750  2 Re 2.57, 2 Hg 2.65, 2 Zn 2.79
Zn 0.7585 0.7500 0.1250  2 Re 2.57, 2 Hg 2.65, 2 Zn 2.79
Re 0.0000 0.0000 0.0000  4 Zn 2.57, 2 Hg 2.79
Re 0.0000 0.5000 0.2500  4 Zn 2.57, 2 Hg 2.79
Re 0.5000 0.0000 0.7500  4 Zn 2.57, 2 Hg 2.79
Re 0.5000 0.5000 0.5000  4 Zn 2.57, 2 Hg 2.79
Hg 0.0000 0.0000 0.5000  4 Zn 2.65, 2 Re 2.79
Hg 0.0000 0.5000 0.7500  4 Zn 2.65, 2 Re 2.79
Hg 0.5000 0.0000 0.2500  4 Zn 2.65, 2 Re 2.79
Hg 0.5000 0.5000 0.0000  4 Zn 2.65, 2 Re 2.79


# ZnReHg2

Crystalline ZnReHg2 at its relaxed geometry (PBE, Alexandria via LeMat-Bulk).

## Properties
* volume: 217 Å³ per cell
* density: 15.0 Mg/m³

Unit cell a=2.9773 b=2.9773 c=28.2337 alpha=90.00 beta=90.00 gamma=120.00
With the nearest neighbours (Å) after each atom.
Fractional coordinates of all 12 atoms:
Zn 0.0000 0.0000 0.0000  6 Hg 2.88, 6 Zn 2.98
Zn 0.3333 0.6667 0.6667  6 Hg 2.88, 6 Zn 2.98
Zn 0.6667 0.3333 0.3333  6 Hg 2.88, 6 Zn 2.98
Re 0.0000 0.0000 0.5000  6 Hg 2.95, 6 Re 2.98
Re 0.3333 0.6667 0.1667  6 Hg 2.95, 6 Re 2.98
Re 0.6667 0.3333 0.8333  6 Hg 2.95, 6 Re 2.98
Hg 0.0000 0.0000 0.2514  3 Zn 2.88, 3 Re 2.95, 6 Hg 2.98
Hg 0.0000 0.0000 0.7486  3 Zn 2.88, 3 Re 2.95, 6 Hg 2.98
Hg 0.3333 0.6667 0.4152  3 Zn 2.88, 3 Re 2.95, 6 Hg 2.98
Hg 0.3333 0.6667 0.9181  3 Zn 2.88, 3 Re 2.95, 6 Hg 2.98
Hg 0.6667 0.3333 0.0819  3 Zn 2.88, 3 Re 2.95, 6 Hg 2.98
Hg 0.6667 0.3333 0.5848  3 Zn 2.88, 3 Re 2.95, 6 Hg 2.98


# ZnReHg2

Crystalline ZnReHg2 at its relaxed geometry (PBE, Alexandria via LeMat-Bulk).

## Properties
* volume: 74 Å³ per cell
* density: 14.6 Mg/m³

Unit cell a=2.8308 b=4.1846 c=6.2492 alpha=90.00 beta=90.00 gamma=90.00
With the nearest neighbours (Å) after each atom.
Fractional coordinates of all 4 atoms:
Zn 0.0000 0.0000 0.0000  1 Hg 2.69, 4 Re 2.73, 2 Zn 2.83
Re 0.5000 0.5000 0.8325  4 Zn 2.73, 2 Re 2.83, 5 Hg 2.84-3.02
Hg 0.0000 0.0000 0.5691  1 Zn 2.69, 2 Hg 2.83, 4 Re 3.02
Hg 0.5000 0.5000 0.2874  6 Hg 2.83-3.08, 1 Re 2.84, 4 Zn 3.10


| no. | total DFT energy (no corrections) (eV per atom) |
| --- | --- |
| 1 | -2.77 |
| 2 | -3.38 |
| 3 | -3.40 |
| 4 | -3.05 |
| 5 | -2.94 |
| 6 | -2.95 |